No. 1
{"formula": "AcGa9Ru2", "functional": "PBE", "state": "relaxed", "lattice_angstrom": [[3.901, 0.000, 0.000], [0.000, 8.223, 0.000], [0.000, -4.112, 7.121]], "species": ["Ac", "Ga", "Ga", "Ga", "Ga", "Ga", "Ga", "Ga", "Ga", "Ga", "Ru", "Ru"], "fractional_positions": [[0.000, 0.000, 0.000], [0.500, 0.796, 0.204], [0.000, 0.000, 0.500], [0.000, 0.500, 0.500], [0.500, 0.796, 0.592], [0.500, 0.204, 0.796], [0.500, 0.592, 0.796], [0.500, 0.204, 0.408], [0.000, 0.500, 0.000], [0.500, 0.408, 0.204], [0.000, 0.667, 0.333], [0.000, 0.333, 0.667]], "delta_e_f_ev_per_atom": -0.37, "sg": "P6/mmm", "crystal_system": "hexagonal"}

***

No. 2
{"formula": "Co2H2I", "functional": "PBE", "state": "relaxed", "lattice_angstrom": [[3.371, 0.000, 0.000], [0.000, 3.371, 0.000], [1.686, 1.686, 6.130]], "species": ["I", "H", "H", "Co", "Co"], "fractional_positions": [[0.000, 0.000, 0.000], [0.750, 0.250, 0.500], [0.250, 0.750, 0.500], [0.213, 0.213, 0.574], [0.787, 0.787, 0.426]], "sg": "I4/mmm", "crystal_system": "tetragonal"}

***

No. 3
{"formula": "Dy2SbH3", "functional": "PBE", "state": "relaxed", "lattice_angstrom": [[-0.096, 3.850, -0.542], [-6.536, -2.538, -2.919], [-0.194, 0.987, 7.052]], "species": ["Dy", "Dy", "Dy", "Dy", "Sb", "Sb", "H", "H", "H", "H", "H", "H"], "fractional_positions": [[0.470, 0.941, 0.731], [0.530, 0.059, 0.269], [0.800, 0.600, 0.319], [0.200, 0.400, 0.681], [0.867, 0.735, 0.954], [0.133, 0.265, 0.046], [0.307, 0.614, 0.525], [0.937, 0.874, 0.589], [0.595, 0.189, 0.623], [0.405, 0.811, 0.377], [0.063, 0.126, 0.411], [0.693, 0.386, 0.475]], "sg": "C2/m", "crystal_system": "monoclinic"}

***

No. 4
{"formula": "Pm5Sm8Ho", "functional": "PBE", "state": "relaxed", "lattice_angstrom": [[-5.355, 0.451, 6.694], [5.382, -6.611, 0.855], [4.294, 7.429, -0.260]], "species": ["Pm", "Pm", "Pm", "Pm", "Pm", "Sm", "Sm", "Sm", "Sm", "Sm", "Sm", "Sm", "Sm", "Ho"], "fractional_positions": [[0.031, 0.317, 0.134], [0.866, 0.898, 0.184], [0.817, 0.683, 0.714], [0.500, 0.000, 0.500], [0.287, 0.102, 0.969], [0.169, 0.735, 0.073], [0.926, 0.097, 0.662], [0.730, 0.256, 0.335], [0.665, 0.396, 0.922], [0.525, 0.604, 0.269], [0.566, 0.903, 0.830], [0.339, 0.265, 0.434], [0.079, 0.744, 0.475], [0.250, 0.500, 0.750]], "delta_e_f_ev_per_atom": 0.24, "sg": "C2", "crystal_system": "monoclinic"}

***

No. 5
{"formula": "BaPAu4", "functional": "PBE", "state": "relaxed", "lattice_angstrom": [[-3.482, 2.497, 2.581], [-3.192, -5.957, 1.457], [6.199, -1.991, 5.441]], "species": ["Ba", "Ba", "P", "P", "Au", "Au", "Au", "Au", "Au", "Au", "Au", "Au"], "fractional_positions": [[0.402, 0.750, 0.805], [0.598, 0.250, 0.195], [0.107, 0.750, 0.215], [0.893, 0.250, 0.785], [0.208, 0.460, 0.417], [0.792, 0.540, 0.583], [0.208, 0.040, 0.417], [0.792, 0.960, 0.583], [0.636, 0.750, 0.273], [0.364, 0.250, 0.727], [0.000, 0.500, 0.000], [0.000, 0.000, 0.000]], "delta_e_f_ev_per_atom": -0.34, "e_above_lowest_polymorph_mev_per_atom": 0, "sg": "Cmcm", "crystal_system": "orthorhombic"}

***

No. 6
{"formula": "Pr3SiN5", "functional": "PBE", "state": "relaxed", "lattice_angstrom": [[5.980, 0.000, -3.290], [-1.810, 5.700, -3.290], [0.160, 0.219, 7.372]], "species": ["Pr", "Pr", "Pr", "Pr", "Pr", "Pr", "Si", "Si", "N", "N", "N", "N", "N", "N", "N", "N", "N", "N"], "fractional_positions": [[0.678, 0.178, 0.000], [0.322, 0.822, 0.000], [0.822, 0.678, 0.000], [0.178, 0.322, 0.000], [0.250, 0.250, 0.500], [0.750, 0.750, 0.500], [0.750, 0.250, 0.500], [0.250, 0.750, 0.500], [0.988, 0.488, 0.698], [0.709, 0.209, 0.698], [0.209, 0.988, 0.698], [0.488, 0.709, 0.698], [0.012, 0.512, 0.302], [0.291, 0.791, 0.302], [0.791, 0.012, 0.302], [0.512, 0.291, 0.302], [0.500, 0.500, 0.000], [0.000, 0.000, 0.000]], "formation_energy_uncorrected_ev_per_atom": -0.988, "sg": "I4/mcm", "crystal_system": "tetragonal"}

***

No. 7
{"formula": "LiTi3Ru", "functional": "PBE", "state": "relaxed", "lattice_angstrom": [[4.759, 0.000, 0.000], [0.000, 4.759, 0.000], [0.000, 0.000, 4.759]], "species": ["Ru", "Li", "Ti", "Ti", "Ti"], "fractional_positions": [[0.000, 0.000, 0.000], [0.500, 0.500, 0.500], [0.000, 0.500, 0.000], [0.000, 0.000, 0.500], [0.500, 0.000, 0.000]], "delta_e_f_ev_per_atom": 0.42, "e_above_lowest_polymorph_mev_per_atom": 0, "sg": "Pm-3m", "crystal_system": "cubic"}

***

No. 8
{"formula": "Hf3TiTe2", "functional": "PBE", "state": "relaxed", "lattice_angstrom": [[3.522, 0.000, 0.000], [1.761, 7.975, 0.660], [1.761, 2.618, 9.946]], "species": ["Hf", "Hf", "Hf", "Hf", "Hf", "Hf", "Ti", "Ti", "Te", "Te", "Te", "Te"], "fractional_positions": [[0.050, 0.100, 0.800], [0.950, 0.900, 0.200], [0.604, 0.809, 0.983], [0.396, 0.191, 0.017], [0.744, 0.845, 0.668], [0.256, 0.155, 0.332], [0.436, 0.464, 0.664], [0.564, 0.536, 0.336], [0.828, 0.486, 0.858], [0.172, 0.514, 0.142], [0.619, 0.221, 0.541], [0.381, 0.779, 0.459]], "formation_energy_uncorrected_ev_per_atom": -0.303, "sg": "C2/m", "crystal_system": "monoclinic"}

***

No. 9
{"formula": "Y2PuCu", "functional": "PBE", "state": "relaxed", "lattice_angstrom": [[-2.785, -1.364, 1.537], [-0.554, -3.414, -0.137], [4.538, -2.876, 9.563]], "species": ["Y", "Y", "Cu", "Pu"], "fractional_positions": [[0.103, 0.103, 0.692], [0.897, 0.897, 0.308], [0.500, 0.500, 0.500], [0.000, 0.000, 0.000]], "delta_e_f_ev_per_atom": 0.32, "e_above_lowest_polymorph_mev_per_atom": 319, "sg": "R-3m", "crystal_system": "trigonal"}

***

No. 10
{"formula": "La3MnTl", "functional": "PBE", "state": "relaxed", "lattice_angstrom": [[-1.692, 4.097, 2.850], [-2.747, -3.277, 3.079], [4.166, -0.497, 3.188]], "species": ["Tl", "Mn", "La", "La", "La"], "fractional_positions": [[0.500, 0.500, 0.500], [0.000, 0.000, 0.000], [0.000, 0.500, 0.000], [0.000, 0.000, 0.500], [0.500, 0.000, 0.000]], "delta_e_f_ev_per_atom": -0.08, "sg": "Pm-3m", "crystal_system": "cubic"}

***

No. 11
{"formula": "Be2RuPt", "functional": "PBE", "state": "relaxed", "lattice_angstrom": [[-0.605, 4.852, 0.518], [-3.378, 2.528, -2.525], [0.887, -3.718, 3.093]], "species": ["Ru", "Pt", "Be", "Be"], "fractional_positions": [[0.250, 0.750, 0.500], [0.514, 0.514, 0.000], [0.982, 0.982, 0.000], [0.754, 0.254, 0.500]], "delta_e_f_ev_per_atom": -0.29, "e_above_lowest_polymorph_mev_per_atom": 242, "sg": "Imm2", "crystal_system": "orthorhombic"}

***

No. 12
{"formula": "Th4In5Os2", "functional": "PBE", "state": "relaxed", "lattice_angstrom": [[-2.472, -2.840, 0.493], [5.331, -3.869, 4.433], [-3.866, 4.694, 7.658]], "species": ["Th", "Th", "Th", "Th", "In", "In", "In", "In", "In", "Os", "Os"], "fractional_positions": [[0.500, 0.786, 0.558], [0.500, 0.178, 0.848], [0.500, 0.214, 0.442], [0.500, 0.822, 0.152], [0.000, 0.541, 0.325], [0.000, 0.171, 0.147], [0.000, 0.500, 0.000], [0.000, 0.829, 0.853], [0.000, 0.459, 0.675], [0.000, 0.086, 0.640], [0.000, 0.914, 0.360]], "delta_e_f_ev_per_atom": -0.33, "sg": "P2/m", "crystal_system": "monoclinic"}

***

no.,DFT total energy (eV/atom)
1,-4.524
2,-4.199
3,-4.680
4,-4.478
5,-3.750
6,-7.809
7,-6.557
8,-7.643
9,-7.523
10,-5.339
11,-5.980
12,-6.313